(1)
5
Lattice="5.0849 0.0000 0.0000 0.0000 5.0849 0.0000 0.0000 0.0000 5.0134" Properties=species:S:1:pos:R:3 comment="NaBP2Cl PBE-GGA optimized geometry" de_polymorph_ev_per_fu=8.77 dft_energy_ev_per_cell=-11.5 formation_energy_uncorrected_ev_per_atom=1.82 spacegroup="No. 123" pbc="T T T"
Na 0.0000 0.0000 0.0000
Cl 0.0000 0.0000 2.5067
P 0.0000 2.5425 0.0000
P 2.5425 0.0000 0.0000
B 2.5425 2.5425 2.5067

(2)
5
Lattice="-0.7169 -2.0647 4.9036 3.8599 -3.6072 -0.9545 2.4263 2.2516 1.3028" Properties=species:S:1:pos:R:3 comment="NaBPCl2 PBE-GGA optimized geometry" de_polymorph_ev_per_fu=0.00 dft_energy_ev_per_cell=-17.2 formation_energy_uncorrected_ev_per_atom=-0.02 spacegroup="No. 123" pbc="T T T"
Na 2.7847 -1.7102 2.6259
P 1.2132 1.1258 0.6514
Cl -0.3585 -1.0323 2.4518
Cl 1.9300 -1.8036 -0.4773
B 0.0000 0.0000 0.0000

(3)
5
Lattice="3.8863 0.0000 0.0000 0.0000 3.8863 0.0000 0.0000 0.0000 8.3018" Properties=species:S:1:pos:R:3 comment="NaBP2Cl PBE-GGA optimized geometry" de_polymorph_ev_per_fu=0.00 dft_energy_ev_per_cell=-20.3 formation_energy_uncorrected_ev_per_atom=0.07 spacegroup="No. 123" pbc="T T T"
B 0.0000 0.0000 0.0000
P 0.0000 1.9432 0.0000
P 1.9432 0.0000 0.0000
Na 1.9432 1.9432 4.1509
Cl 0.0000 0.0000 4.1509

(4)
5
Lattice="-5.0836 0.4700 -0.7206 -0.8299 -3.8171 3.3651 -0.2383 3.6096 4.0358" Properties=species:S:1:pos:R:3 comment="NaBPCl2 PBE-GGA optimized geometry" de_polymorph_ev_per_fu=5.55 dft_energy_ev_per_cell=-11.7 formation_energy_uncorrected_ev_per_atom=1.09 spacegroup="No. 123" pbc="T T T"
Cl -2.5418 0.2350 -0.3603
Cl -0.4150 -1.9086 1.6825
B -3.0759 0.1312 3.3401
Na 0.0000 0.0000 0.0000
P -0.1192 1.8048 2.0179

(5)
10
Lattice="6.9045 0.0000 0.0000 0.0000 6.9045 0.0000 3.4522 3.4522 5.6685" Properties=species:S:1:pos:R:3 comment="Rb2NaBCl6 PBE-GGA optimized geometry" dft_energy_ev_per_cell=-33.0 formation_energy_uncorrected_ev_per_atom=-1.20 spacegroup="No. 139" pbc="T T T"
Na 0.0000 0.0000 0.0000
Cl 3.4522 3.4522 3.0294
Cl 4.8613 4.8613 0.0000
Cl 4.8613 2.0432 0.0000
Cl 2.0432 4.8613 0.0000
Cl 6.9045 6.9045 2.6391
Cl 2.0432 2.0432 0.0000
Rb 3.4522 6.9045 2.8343
Rb 6.9045 3.4522 2.8343
B 3.4522 3.4522 0.0000

(6)
5
Lattice="5.3620 0.0000 0.0000 0.0000 4.1784 0.0000 0.0000 0.0000 5.3620" Properties=species:S:1:pos:R:3 comment="NaReBCl2 PBE-GGA optimized geometry" dft_energy_ev_per_cell=-20.3 formation_energy_uncorrected_ev_per_atom=0.76 spacegroup="No. 123" pbc="T T T"
B 0.0000 0.0000 0.0000
Re 0.0000 2.0892 0.0000
Cl 0.0000 0.0000 2.6810
Cl 2.6810 0.0000 0.0000
Na 2.6810 2.0892 2.6810

What spin magnetization values result from the calculations? In sequence: 2.46; 0.45; 0.00; 3.02; 0.00; 4.29 μB/cell.